A relaxed BeNiRu2 crystal. Source: Alexandria, functional GGA-PBE.

## Properties
Its density is 9279 kg/m3. The calculation puts the energy relative to the elements at 0.11 eV per atom. The volume comes out at 12.1 Å³/atom.

abc: 2.6435 3.7070 5.0162
angles: 90.00 100.76 90.00
Space group P2/m (No. 10)
Symmetry-distinct sites (fractional):
Be: 0.0000 0.0000 0.0000
Ni: 0.0000 0.0000 0.5000
Ru: 0.3839 0.5000 0.2362

=====

A relaxed HoScOs2 crystal. Source: Alexandria, functional GGA-PBE.

## Properties
Its density is 13537 kg/m3. The calculation puts the energy relative to the elements at -0.17 eV per atom. The volume comes out at 18.1 Å³/atom.

abc: 3.3078 3.3078 6.6186
angles: 90.00 90.00 90.00
Space group P4/mmm (No. 123)
Symmetry-distinct sites (fractional):
Ho: 0.0000 0.0000 0.0000
Sc: 0.0000 0.0000 0.5000
Os: 0.5000 0.5000 0.2661

=====

A relaxed Pa8RuRh5 crystal. Source: Alexandria, functional GGA-PBE.

## Properties
Its density is 13184 kg/m3. The calculation puts the energy relative to the elements at -0.52 eV per atom. The volume comes out at 22.2 Å³/atom.

abc: 8.5028 8.5028 8.5848
angles: 90.00 90.00 90.00
Space group I-4 (No. 82)
Symmetry-distinct sites (fractional):
Pa: 0.0516 0.1867 0.3148
Pa: 0.0653 0.3035 0.9359
Ru: 0.0000 0.0000 0.0000
Rh: 0.0000 0.5000 0.2500
Rh: 0.1214 0.2577 0.6224

=====

A relaxed PmPrY2 crystal. Source: Alexandria, functional GGA-PBE.

## Properties
As for the energy above the most stable polymorph in this dataset: 9.1 meV per atom. Its density is 5705 kg/m3. The calculation puts the energy relative to the elements at 0.02 eV per atom. The volume comes out at 33.7 Å³/atom.

abc: 3.6340 3.6340 10.2206
angles: 90.00 90.00 90.00
Space group P4/mmm (No. 123)
Symmetry-distinct sites (fractional):
Pm: 0.0000 0.0000 0.0000
Pr: 0.0000 0.0000 0.5000
Y: 0.5000 0.5000 0.2478

=====

A relaxed CaNpTe3Au crystal. Source: Alexandria, functional GGA-PBE.

## Properties
The uncorrected formation energy is -0.784 eV/atom. Its density is 8352 kg/m3. The volume comes out at 28.4 Å³/atom.

abc: 8.5659 4.3142 10.0520
angles: 90.00 113.49 90.00
Space group P2_1/m (No. 11)
Symmetry-distinct sites (fractional):
Ca: 0.2383 0.2500 0.2312
Np: 0.2750 0.7500 0.7869
Te: 0.0636 0.2500 0.8581
Te: 0.3399 0.7500 0.5055
Te: 0.4425 0.7500 0.1335
Au: 0.1109 0.2500 0.5062

=====

A relaxed Ca2ZnCl crystal. Source: Alexandria, functional GGA-PBE.

## Properties
As for the energy above the most stable polymorph in this dataset: 177.9 meV per atom. The uncorrected formation energy is -0.733 eV/atom. Its density is 2506 kg/m3. The volume comes out at 30.0 Å³/atom.

abc: 7.6251 7.6251 8.2505
angles: 90.00 90.00 90.00
Space group I-42d (No. 122)
Symmetry-distinct sites (fractional):
Ca: 0.2341 0.2500 0.1250
Zn: 0.0000 0.0000 0.5000
Cl: 0.0000 0.0000 0.0000

=====

A relaxed LiAl3Cu4 crystal. Source: Alexandria, functional GGA-PBE.

## Properties
Its density is 5462 kg/m3. The calculation puts the energy relative to the elements at -0.23 eV per atom. The volume comes out at 13.0 Å³/atom.

abc: 8.4856 5.7774 4.2425
angles: 90.00 90.00 90.00
Space group Pmma (No. 51)
Symmetry-distinct sites (fractional):
Li: 0.0000 0.0000 0.0000
Al: 0.0000 0.5000 0.0000
Al: 0.2500 0.0000 0.4933
Al: 0.2500 0.5000 0.4932
Cu: 0.0000 0.2484 0.5000
Cu: 0.2500 0.2483 0.9924

=====

A relaxed GaAgPb crystal. Source: Alexandria, functional GGA-PBE.

## Properties
Its density is 9299 kg/m3. The calculation puts the energy relative to the elements at 0.07 eV per atom. The volume comes out at 22.9 Å³/atom.

abc: 13.4462 6.0591 3.4890
angles: 90.00 104.79 90.00
Space group C2/m (No. 12)
Symmetry-distinct sites (fractional):
Ga: 0.1198 0.0000 0.1206
Ag: 0.0000 0.2567 0.5000
Pb: 0.1748 0.5000 0.1631

=====

A relaxed LaNb3Cl crystal. Source: Alexandria, functional GGA-PBE.

## Properties
As for the energy above the most stable polymorph in this dataset: 0.0 meV per atom. The uncorrected formation energy is 0.488 eV/atom. Its density is 6968 kg/m3. The volume comes out at 21.6 Å³/atom.

abc: 4.7619 4.7619 4.7619
angles: 90.00 90.00 90.00
Space group Pm-3m (No. 221)
Symmetry-distinct sites (fractional):
La: 0.0000 0.0000 0.0000
Nb: 0.0000 0.5000 0.5000
Cl: 0.5000 0.5000 0.5000

=====

A relaxed SrCuAg2 crystal. Source: Alexandria, functional GGA-PBE.

## Properties
As for the energy above the most stable polymorph in this dataset: 173.5 meV per atom. Its density is 6788 kg/m3. The calculation puts the energy relative to the elements at 0.06 eV per atom. The volume comes out at 22.4 Å³/atom.

abc: 7.1072 7.1072 7.1072
angles: 90.00 90.00 90.00
Space group Fm-3m (No. 225)
Symmetry-distinct sites (fractional):
Sr: 0.0000 0.0000 0.0000
Cu: 0.0000 0.0000 0.5000
Ag: 0.2500 0.2500 0.2500

=====

A relaxed Al3SiTc crystal. Source: Alexandria, functional GGA-PBE.

## Properties
As for the energy above the most stable polymorph in this dataset: 1314.3 meV per atom. The uncorrected formation energy is 1.093 eV/atom. Its density is 3391 kg/m3. The volume comes out at 20.3 Å³/atom.

abc: 4.6629 4.6629 4.6629
angles: 90.00 90.00 90.00
Space group Pm-3m (No. 221)
Symmetry-distinct sites (fractional):
Al: 0.0000 0.0000 0.5000
Si: 0.0000 0.0000 0.0000
Tc: 0.5000 0.5000 0.5000

=====

We obtain magnetic moment values of 0.00, 0.00, 0.00, 0.00, 0.61, 0.00, 0.00, 0.00, 0.00, 0.00, 0.60 μB per atom for the records listed above, in that order.